{"formula": "Zr3TiC", "functional": "GGA-PBE", "state": "optimized geometry", "lattice_angstrom": [[4.863, 0.000, 0.000], [0.000, 4.863, 0.000], [0.000, 0.000, 4.863]], "species": ["Zr", "Zr", "Zr", "Ti", "C"], "frac_coords": [[0.000, 0.000, 0.500], [0.000, 0.500, 0.000], [0.500, 0.000, 0.000], [0.000, 0.000, 0.000], [0.500, 0.500, 0.500]], "e_above_lowest_polymorph_ev_per_atom": 2.1548, "total_magnetization_mub_per_cell": 0.0, "space_group": "No. 221", "formation_energy_kj_per_mol_atoms": 189, "total_energy_ev_per_fu": -33.0}

{"formula": "Zr2TiC2", "functional": "GGA-PBE", "state": "optimized geometry", "lattice_angstrom": [[1.665, -6.658, 0.000], [1.665, 6.658, 0.000], [0.000, 0.000, 6.413]], "species": ["Zr", "Zr", "Zr", "Zr", "Ti", "Ti", "C", "C", "C", "C"], "frac_coords": [[0.054, 0.946, 0.500], [0.213, 0.787, 0.865], [0.787, 0.213, 0.365], [0.946, 0.054, 0.000], [0.402, 0.598, 0.646], [0.598, 0.402, 0.146], [0.183, 0.817, 0.244], [0.454, 0.546, 0.317], [0.546, 0.454, 0.817], [0.817, 0.183, 0.744]], "e_above_lowest_polymorph_ev_per_atom": 0.3412, "total_magnetization_mub_per_cell": 0.0, "space_group": "No. 36", "formation_energy_kj_per_mol_atoms": -33, "total_energy_ev_per_fu": -45.1}

{"formula": "ZrTi5C3", "functional": "GGA-PBE", "state": "optimized geometry", "lattice_angstrom": [[4.896, -3.545, 0.000], [4.896, 3.545, 0.000], [-3.515, 0.000, 7.245]], "species": ["Zr", "Zr", "Ti", "Ti", "Ti", "Ti", "Ti", "Ti", "Ti", "Ti", "Ti", "Ti", "C", "C", "C", "C", "C", "C"], "frac_coords": [[0.105, 0.105, 0.306], [0.895, 0.895, 0.694], [0.035, 0.634, 0.328], [0.236, 0.236, 0.031], [0.301, 0.699, 0.000], [0.366, 0.965, 0.672], [0.430, 0.430, 0.633], [0.570, 0.570, 0.367], [0.634, 0.035, 0.328], [0.699, 0.301, 0.000], [0.764, 0.764, 0.969], [0.965, 0.366, 0.672], [0.000, 0.000, 0.000], [0.000, 0.000, 0.500], [0.334, 0.334, 0.834], [0.344, 0.344, 0.332], [0.656, 0.656, 0.668], [0.666, 0.666, 0.166]], "total_magnetization_mub_per_cell": 0.0, "space_group": "No. 12", "formation_energy_kj_per_mol_atoms": -56, "total_energy_ev_per_fu": -80.9}

{"formula": "ZrTiC", "functional": "GGA-PBE", "state": "optimized geometry", "lattice_angstrom": [[10.440, 0.000, 0.000], [0.000, 3.227, 0.000], [-1.067, 0.000, 5.463]], "species": ["Zr", "Zr", "Zr", "Zr", "Ti", "Ti", "Ti", "Ti", "C", "C", "C", "C"], "frac_coords": [[0.126, 0.000, 0.366], [0.374, 0.500, 0.634], [0.626, 0.500, 0.366], [0.874, 0.000, 0.634], [0.140, 0.500, 0.882], [0.360, 0.000, 0.118], [0.640, 0.000, 0.882], [0.860, 0.500, 0.118], [0.245, 0.000, 0.759], [0.255, 0.500, 0.241], [0.745, 0.500, 0.759], [0.755, 0.000, 0.241]], "e_above_lowest_polymorph_ev_per_atom": 0.0000, "total_magnetization_mub_per_cell": 0.0, "space_group": "No. 12", "formation_energy_kj_per_mol_atoms": -57, "total_energy_ev_per_fu": -27.4}

{"formula": "ZrTiC3", "functional": "GGA-PBE", "state": "optimized geometry", "lattice_angstrom": [[4.194, 0.000, 0.000], [0.000, 4.194, 0.000], [0.000, 0.000, 4.194]], "species": ["Zr", "Ti", "C", "C", "C"], "frac_coords": [[0.000, 0.000, 0.000], [0.500, 0.500, 0.500], [0.000, 0.000, 0.500], [0.000, 0.500, 0.000], [0.500, 0.000, 0.000]], "e_above_lowest_polymorph_ev_per_atom": 0.8220, "total_magnetization_mub_per_cell": 0.0, "space_group": "No. 221", "formation_energy_kj_per_mol_atoms": 180, "total_energy_ev_per_fu": -34.8}

{"formula": "ZrTiC2", "functional": "GGA-PBE", "state": "optimized geometry", "lattice_angstrom": [[6.543, 0.000, 0.000], [0.000, 4.544, 0.000], [0.000, 0.000, 7.487]], "species": ["Zr", "Zr", "Zr", "Zr", "Ti", "Ti", "Ti", "Ti", "C", "C", "C", "C", "C", "C", "C", "C"], "frac_coords": [[0.093, 0.250, 0.126], [0.407, 0.750, 0.626], [0.593, 0.250, 0.374], [0.907, 0.750, 0.874], [0.075, 0.250, 0.624], [0.425, 0.750, 0.124], [0.575, 0.250, 0.876], [0.925, 0.750, 0.376], [0.071, 0.750, 0.617], [0.096, 0.750, 0.133], [0.404, 0.250, 0.633], [0.429, 0.250, 0.117], [0.571, 0.750, 0.883], [0.596, 0.750, 0.367], [0.904, 0.250, 0.867], [0.929, 0.250, 0.383]], "e_above_lowest_polymorph_ev_per_atom": 0.2448, "total_magnetization_mub_per_cell": 0.0, "space_group": "No. 62", "formation_energy_kj_per_mol_atoms": -48, "total_energy_ev_per_fu": -36.9}